This record from OQMD describes a relaxed RbIrO3 crystal. The functional is PBE-GGA.

Cell and atoms, written as CIF:
```
data_RbIrO3
_chemical_formula_sum 'Rb4 Ir4 O12'
_cell_length_a 4.949
_cell_length_b 10.888
_cell_length_c 6.572
_cell_angle_alpha 90.00
_cell_angle_beta 90.00
_cell_angle_gamma 90.00
_symmetry_space_group_name_H-M 'P n m a'
_symmetry_Int_Tables_number 62
loop_
_symmetry_equiv_pos_as_xyz
'x,y,z'
'-x,-y,-z'
'-x+1/2,-y,z+1/2'
'x+1/2,y,-z+1/2'
'x+1/2,-y+1/2,-z+1/2'
'-x+1/2,y+1/2,z+1/2'
'-x,y+1/2,-z'
'x,-y+1/2,z'
loop_
_atom_site_label
_atom_site_type_symbol
_atom_site_fract_x
_atom_site_fract_y
_atom_site_fract_z
Rb1 Rb 0.000 0.000 0.000
Ir1 Ir 0.009 0.250 0.446
O1 O 0.011 0.615 0.397
O2 O 0.115 0.750 0.827
```

Results
The total energy comes out at -5.702 eV per atom. The total magnetization is 0.01 Bohr magnetons per cell.